(1)
# Mn2SiHg | the Alexandria database | PBE-GGA | relaxed
data_Mn2SiHg
_cell_length_a 2.803
_cell_length_b 4.025
_cell_length_c 5.535
_cell_angle_alpha 90.00
_cell_angle_beta 94.31
_cell_angle_gamma 90.00
_space_group_name_H-M_alt 'P 1 m 1'
_space_group_IT_number 6
loop_
_space_group_symop_operation_xyz
'x,y,z'
'x,-y,z'
loop_
_atom_site_label
_atom_site_type_symbol
_atom_site_fract_x
_atom_site_fract_y
_atom_site_fract_z
Mn1 Mn 0.000 0.000 0.000
Mn2 Mn 0.133 0.500 0.713
Si1 Si 0.578 0.500 0.096
Hg1 Hg 0.596 0.000 0.472
# Crystal system   monoclinic
# Relative energy among the computed polymorphs   0.1782 eV/atom
# Magnetic moment   1.41 μB/atom
# E_form (uncorrected)   0.26 eV per atom

---

(2)
# MnSi2Hg | the Alexandria database | PBE-GGA | relaxed
data_MnSi2Hg
_cell_length_a 2.867
_cell_length_b 2.867
_cell_length_c 8.029
_cell_angle_alpha 90.00
_cell_angle_beta 90.00
_cell_angle_gamma 90.00
_space_group_name_H-M_alt 'P 4/m m m'
_space_group_IT_number 123
_space_group_name_Hall '-P 4 2'
loop_
_atom_site_label
_atom_site_type_symbol
_atom_site_fract_x
_atom_site_fract_y
_atom_site_fract_z
Mn1 Mn 0.000 0.000 0.000
Si1 Si 0.500 0.500 0.163
Hg1 Hg 0.000 0.000 0.500
# Crystal system   tetragonal
# Magnetic moment   0.00 μB/atom
# E_form (uncorrected)   0.20 eV per atom

---

(3)
# MnSi2Hg | the Alexandria database | PBE-GGA | relaxed
data_MnSi2Hg
_cell_length_a 4.919
_cell_length_b 4.919
_cell_length_c 2.866
_cell_angle_alpha 90.00
_cell_angle_beta 90.00
_cell_angle_gamma 90.00
_space_group_name_H-M_alt 'P 4/m m m'
_space_group_IT_number 123
_space_group_name_Hall '-P 4 2'
loop_
_atom_site_label
_atom_site_type_symbol
_atom_site_fract_x
_atom_site_fract_y
_atom_site_fract_z
Mn1 Mn 0.000 0.000 0.000
Si1 Si 0.000 0.500 0.500
Hg1 Hg 0.500 0.500 0.000
# Crystal system   tetragonal
# Magnetic moment   0.89 μB/atom
# E_form (uncorrected)   0.53 eV per atom

---

(4)
# MnSi2Hg | the Alexandria database | PBE-GGA | relaxed
data_MnSi2Hg
_cell_length_a 2.676
_cell_length_b 4.738
_cell_length_c 10.756
_cell_angle_alpha 90.00
_cell_angle_beta 90.00
_cell_angle_gamma 90.00
_space_group_name_H-M_alt 'I m m m'
_space_group_IT_number 71
_space_group_name_Hall '-I 2 2'
loop_
_atom_site_label
_atom_site_type_symbol
_atom_site_fract_x
_atom_site_fract_y
_atom_site_fract_z
Mn1 Mn 0.000 0.000 0.000
Si1 Si 0.000 0.500 0.306
Hg1 Hg 0.000 0.000 0.500
# Crystal system   orthorhombic
# Magnetic moment   0.55 μB/atom
# E_form (uncorrected)   0.39 eV per atom

---

(5)
# MnSi2Hg | the Alexandria database | PBE-GGA | relaxed
data_MnSi2Hg
_cell_length_a 2.9673
_cell_length_b 2.9673
_cell_length_c 24.7867
_cell_angle_alpha 90.00
_cell_angle_beta 90.00
_cell_angle_gamma 120.00
_space_group_name_H-M_alt 'R -3 m'
_space_group_IT_number 166
_space_group_name_Hall '-R 3 2"'
loop_
_atom_site_label
_atom_site_type_symbol
_atom_site_fract_x
_atom_site_fract_y
_atom_site_fract_z
Mn1 Mn 0.0000 0.0000 0.0000
Si1 Si 0.0000 0.0000 0.2681
Hg1 Hg 0.0000 0.0000 0.5000
# Crystal system   trigonal
# Magnetic moment   0.13 μB/atom
# E_form (uncorrected)   0.21 eV per atom

---

(6)
# Mn2SiHg | the Alexandria database | PBE-GGA | relaxed
data_Mn2SiHg
_cell_length_a 3.938
_cell_length_b 3.938
_cell_length_c 3.842
_cell_angle_alpha 90.00
_cell_angle_beta 90.00
_cell_angle_gamma 90.00
_space_group_name_H-M_alt 'P 4/m m m'
_space_group_IT_number 123
_space_group_name_Hall '-P 4 2'
loop_
_atom_site_label
_atom_site_type_symbol
_atom_site_fract_x
_atom_site_fract_y
_atom_site_fract_z
Mn1 Mn 0.000 0.500 0.000
Si1 Si 0.000 0.000 0.500
Hg1 Hg 0.500 0.500 0.500
# Crystal system   tetragonal
# Relative energy among the computed polymorphs   0.2007 eV/atom
# Magnetic moment   1.41 μB/atom
# E_form (uncorrected)   0.28 eV per atom